## Pu2MgPN5 (PBE-GGA)

Data for a geometry-optimized Pu2MgPN5 structure.

Cell lengths 3.1190, 7.0053, 10.0100 Å; angles 90.00, 90.00, 102.86 degrees
Last column: magnetic moment on the atom in μB.
Fractional coordinates of all 18 atoms:
1 N 0.3330 0.6661 0.3811  -0.09
2 N 0.4884 0.9767 0.7852  -0.12
3 N 0.2899 0.5799 0.6878  -0.25
4 N 0.3501 0.7002 0.0121  -0.25
5 N 0.9692 0.9384 0.5104  -0.05
6 N 0.0308 0.0616 0.0104  -0.05
7 N 0.7101 0.4201 0.1878  -0.25
8 N 0.6499 0.2998 0.5121  -0.25
9 N 0.6670 0.3339 0.8811  -0.09
10 N 0.5116 0.0233 0.2852  -0.12
11 Mg 0.1972 0.3943 0.0283  0.00
12 Mg 0.8028 0.6057 0.5283  0.00
13 Pu 0.1468 0.2936 0.3250  4.28
14 Pu 0.1211 0.2422 0.6713  4.45
15 Pu 0.8789 0.7578 0.1713  4.45
16 Pu 0.8532 0.7064 0.8250  4.28
17 P 0.5513 0.1026 0.9227  0.03
18 P 0.4487 0.8974 0.4227  0.03

Summary:
E   -9.36 eV per atom
Crystal system   orthorhombic
Formation energy (no corrections)   -773 meV per atom
Total magnetization   16.0 Bohr magnetons per cell

## Ce3FeC4 (PBE-GGA)

Data for a geometry-optimized Ce3FeC4 structure.

Cell lengths 3.7035, 3.9098, 8.5859 Å; angles 94.50, 102.46, 90.00 degrees
Last column: magnetic moment on the atom in μB.
Fractional coordinates of all 8 atoms:
1 Ce 0.1749 0.2243 0.3498  0.31
2 Ce 0.8251 0.7757 0.6502  0.31
3 Ce 0.0000 0.5000 0.0000  0.26
4 Fe 0.5000 0.0000 0.0000  -0.13
5 C 0.3206 0.2575 0.6411  0.00
6 C 0.6015 0.8221 0.2031  0.01
7 C 0.3985 0.1779 0.7969  0.01
8 C 0.6794 0.7425 0.3589  0.00

Summary:
E   -8.11 eV per atom
Crystal system   monoclinic
Total magnetization   1.0 Bohr magnetons per cell

## Li2AgGe2 (PBE-GGA)

Data for a geometry-optimized Li2AgGe2 structure.

Cell lengths 4.4474, 5.3004, 8.8602 Å; angles 72.49, 75.46, 65.19 degrees
Fractional coordinates of all 10 atoms:
1 Li 0.6599 0.7543 0.9259
2 Li 0.5457 0.2603 0.6482
3 Li 0.4543 0.7397 0.3518
4 Li 0.3401 0.2457 0.0741
5 Ge 0.0376 0.7994 0.1253
6 Ge 0.1221 0.3688 0.3871
7 Ge 0.9624 0.2006 0.8747
8 Ge 0.8779 0.6312 0.6129
9 Ag 0.7693 0.1303 0.3311
10 Ag 0.2307 0.8697 0.6689

Summary:
E above lowest polymorph   3 meV per atom
E   -3.36 eV per atom
Crystal system   monoclinic
Total magnetization   0.0 Bohr magnetons per cell

## Si2TeSe (PBE-GGA)

Data for a geometry-optimized Si2TeSe structure.

Cell lengths 3.3849, 4.9170, 4.9221 Å; angles 90.00, 90.00, 90.00 degrees
Fractional coordinates of all 4 atoms:
1 Te 0.5000 0.0000 0.5000
2 Se 0.0000 0.5000 0.5000
3 Si 0.0000 0.0000 0.0000
4 Si 0.5000 0.5000 0.0000

Summary:
E above lowest polymorph   678 meV per atom
E   -3.76 eV per atom
Crystal system   orthorhombic
Formation energy (no corrections)   613 meV per atom
Total magnetization   0.0 Bohr magnetons per cell

## BeSb2W (PBE-GGA)

Data for a geometry-optimized BeSb2W structure.

Cell lengths 4.6106, 4.6106, 4.6106 Å; angles 113.52, 113.52, 101.64 degrees
Fractional coordinates of all 4 atoms:
1 Sb 0.0000 0.0000 0.0000
2 Sb 0.5000 0.5000 0.0000
3 Be 0.7500 0.2500 0.5000
4 W 0.2500 0.7500 0.5000

Summary:
E   -5.47 eV per atom
Crystal system   tetragonal
Formation energy (no corrections)   760 meV per atom
Total magnetization   0.0 Bohr magnetons per cell

## Ac2AlGe3Rh4 (PBE-GGA)

Data for a geometry-optimized Ac2AlGe3Rh4 structure.

Cell lengths 4.3164, 4.3164, 10.5759 Å; angles 90.00, 90.00, 90.00 degrees
Fractional coordinates of all 10 atoms:
1 Rh 0.0000 0.0000 0.0000
2 Rh 0.0000 0.5000 0.3710
3 Rh 0.5000 0.5000 0.0000
4 Rh 0.5000 0.0000 0.6290
5 Al 0.5000 0.5000 0.5000
6 Ge 0.0000 0.0000 0.5000
7 Ge 0.5000 0.0000 0.8752
8 Ge 0.0000 0.5000 0.1248
9 Ac 0.0000 0.5000 0.7479
10 Ac 0.5000 0.0000 0.2521

Summary:
E   -6.38 eV per atom
Crystal system   tetragonal
Total magnetization   0.0 Bohr magnetons per cell

## LaAuBr2 (PBE-GGA)

Data for a geometry-optimized LaAuBr2 structure.

Cell lengths 4.7720, 4.7685, 4.5177 Å; angles 90.00, 90.00, 90.00 degrees
Fractional coordinates of all 4 atoms:
1 Br 0.0000 0.0000 0.0000
2 Br 0.5000 0.5000 0.0000
3 La 0.5000 0.0000 0.5000
4 Au 0.0000 0.5000 0.5000

Summary:
E above lowest polymorph   270 meV per atom
E   -3.92 eV per atom
Crystal system   tetragonal
Formation energy (no corrections)   -1032 meV per atom
Total magnetization   0.0 Bohr magnetons per cell

## SbPbI2F (PBE-GGA)

Data for a geometry-optimized SbPbI2F structure.

Cell lengths 6.0107, 6.0107, 4.2873 Å; angles 90.00, 90.00, 90.00 degrees
Fractional coordinates of all 5 atoms:
1 I 0.0000 0.5000 0.0000
2 I 0.5000 0.0000 0.0000
3 Sb 0.0000 0.0000 0.5000
4 F 0.0000 0.0000 0.0000
5 Pb 0.5000 0.5000 0.5000

Summary:
E above lowest polymorph   0 meV per atom
E   -2.94 eV per atom
Crystal system   tetragonal
Formation energy (no corrections)   -382 meV per atom
Total magnetization   0.0 Bohr magnetons per cell

## Th2TePb (PBE-GGA)

Data for a geometry-optimized Th2TePb structure.

Cell lengths 5.5070, 5.5070, 5.5070 Å; angles 60.00, 60.00, 60.00 degrees
Last column: magnetic moment on the atom in μB.
Fractional coordinates of all 4 atoms:
1 Pb 0.0000 0.0000 0.0000  0.01
2 Th 0.2500 0.2500 0.2500  0.10
3 Th 0.7500 0.7500 0.7500  0.10
4 Te 0.5000 0.5000 0.5000  0.00

Summary:
E above lowest polymorph   30 meV per atom
E   -6.05 eV per atom
Crystal system   cubic
Formation energy (no corrections)   -626 meV per atom
Total magnetization   0.4 Bohr magnetons per cell

## Zr2NiRh2 (PBE-GGA)

Data for a geometry-optimized Zr2NiRh2 structure.

Cell lengths 6.9099, 6.9099, 3.6642 Å; angles 90.00, 90.00, 90.00 degrees
Fractional coordinates of all 10 atoms:
1 Rh 0.6374 0.1374 0.0000
2 Rh 0.1374 0.3626 0.0000
3 Rh 0.8626 0.6374 0.0000
4 Rh 0.3626 0.8626 0.0000
5 Zr 0.8285 0.3285 0.5000
6 Zr 0.1715 0.6715 0.5000
7 Zr 0.6715 0.8285 0.5000
8 Zr 0.3285 0.1715 0.5000
9 Ni 0.0000 0.0000 0.0000
10 Ni 0.5000 0.5000 0.0000

Summary:
E above lowest polymorph   60 meV per atom
E   -8.02 eV per atom
Crystal system   tetragonal
Total magnetization   0.0 Bohr magnetons per cell

## HoTm3Sc2Bi6 (PBE-GGA)

Data for a geometry-optimized HoTm3Sc2Bi6 structure.

Cell lengths 4.3839, 8.7709, 9.7998 Å; angles 102.87, 102.92, 90.00 degrees
Fractional coordinates of all 12 atoms:
1 Bi 0.6692 0.5767 0.3384
2 Bi 0.3319 0.9088 0.6638
3 Bi 0.6681 0.0912 0.3362
4 Bi 0.9965 0.7466 0.9931
5 Bi 0.0035 0.2534 0.0069
6 Bi 0.3308 0.4233 0.6616
7 Sc 0.8327 0.6665 0.6654
8 Sc 0.1673 0.3335 0.3346
9 Ho 0.5000 0.0000 0.0000
10 Tm 0.8350 0.1682 0.6701
11 Tm 0.5000 0.5000 0.0000
12 Tm 0.1650 0.8318 0.3299

Summary:
E   -5.24 eV per atom
Crystal system   monoclinic
Total magnetization   0.0 Bohr magnetons per cell

## Dy3Y2Tm2 (PBE-GGA)

Data for a geometry-optimized Dy3Y2Tm2 structure.

Cell lengths 3.5302, 11.1823, 6.1242 Å; angles 100.58, 73.24, 108.31 degrees
Fractional coordinates of all 7 atoms:
1 Tm 0.7161 0.2863 0.1407
2 Tm 0.2839 0.7137 0.8593
3 Y 0.1408 0.8557 0.4296
4 Y 0.8592 0.1443 0.5704
5 Dy 0.5736 0.4307 0.7149
6 Dy 0.0000 0.0000 0.0000
7 Dy 0.4264 0.5693 0.2851

Summary:
E   -5.07 eV per atom
Crystal system   triclinic
Total magnetization   0.0 Bohr magnetons per cell

## Mg14BMo (PBE-GGA)

Data for a geometry-optimized Mg14BMo structure.

Cell lengths 6.1386, 6.1386, 9.0761 Å; angles 90.00, 90.00, 103.27 degrees
Fractional coordinates of all 16 atoms:
1 B 0.2419 0.7581 0.5000
2 Mg 0.4429 0.5571 0.0000
3 Mg 0.1695 0.4387 0.3072
4 Mg 0.8351 0.6021 0.5000
5 Mg 0.6745 0.3255 0.7616
6 Mg 0.5613 0.8305 0.6928
7 Mg 0.0812 0.9188 0.7215
8 Mg 0.9640 0.6240 0.0000
9 Mg 0.6745 0.3255 0.2384
10 Mg 0.5613 0.8305 0.3072
11 Mg 0.3979 0.1649 0.5000
12 Mg 0.1695 0.4387 0.6928
13 Mg 0.8961 0.1039 0.0000
14 Mg 0.0812 0.9188 0.2785
15 Mg 0.3760 0.0360 0.0000
16 Mo 0.8731 0.1269 0.5000

Summary:
E above lowest polymorph   0 meV per atom
E   -2.30 eV per atom
Crystal system   orthorhombic
Total magnetization   0.0 Bohr magnetons per cell

## La4SiRh4 (PBE-GGA)

Data for a geometry-optimized La4SiRh4 structure.

Cell lengths 6.1305, 8.4812, 8.4812 Å; angles 90.00, 90.00, 90.00 degrees
Fractional coordinates of all 18 atoms:
1 La 0.1781 0.2303 0.5010
2 La 0.8219 0.5010 0.7697
3 La 0.6781 0.0010 0.2697
4 La 0.8219 0.4990 0.2303
5 La 0.6781 0.9990 0.7303
6 La 0.3219 0.7303 0.0010
7 La 0.1781 0.7697 0.4990
8 La 0.3219 0.2697 0.9990
9 Rh 0.3011 0.5007 0.7382
10 Rh 0.6989 0.7382 0.4993
11 Rh 0.8011 0.7618 0.0007
12 Rh 0.8011 0.2382 0.9993
13 Rh 0.1989 0.9993 0.7618
14 Rh 0.6989 0.2618 0.5007
15 Rh 0.3011 0.4993 0.2618
16 Rh 0.1989 0.0007 0.2382
17 Si 0.5000 0.5000 0.5000
18 Si 0.0000 0.0000 0.0000

Summary:
E   -6.75 eV per atom
Crystal system   tetragonal
Formation energy (no corrections)   -694 meV per atom
Total magnetization   0.0 Bohr magnetons per cell

## RbMnNi (PBE-GGA)

Data for a geometry-optimized RbMnNi structure.

Cell lengths 4.8699, 4.8699, 4.8699 Å; angles 60.00, 60.00, 60.00 degrees
Last column: magnetic moment on the atom in μB.
Fractional coordinates of all 3 atoms:
1 Mn 0.7500 0.7500 0.7500  4.21
2 Rb 0.2500 0.2500 0.2500  0.02
3 Ni 0.5000 0.5000 0.5000  0.52

Summary:
E above lowest polymorph   839 meV per atom
E   -4.06 eV per atom
Crystal system   cubic
Total magnetization   5.1 Bohr magnetons per cell

## HfAlBiO6 (PBE-GGA)

Data for a geometry-optimized HfAlBiO6 structure.

Cell lengths 4.5618, 5.1985, 5.1985 Å; angles 120.00, 90.00, 90.00 degrees
Fractional coordinates of all 9 atoms:
1 O 0.7332 0.9951 0.3095
2 O 0.7332 0.6905 0.6857
3 O 0.7332 0.3143 0.0049
4 O 0.2668 0.3143 0.3095
5 O 0.2668 0.9951 0.6857
6 O 0.2668 0.6905 0.0049
7 Hf 0.5000 0.6667 0.3333
8 Al 0.5000 0.0000 0.0000
9 Bi 0.0000 0.3333 0.6667

Summary:
E   -7.47 eV per atom
Crystal system   trigonal
Formation energy (no corrections)   -2212 meV per atom
Total magnetization   0.0 Bohr magnetons per cell

## Tb2Pr4Mg (PBE-GGA)

Data for a geometry-optimized Tb2Pr4Mg structure.

Cell lengths 6.0650, 6.7977, 11.8206 Å; angles 90.00, 105.46, 90.00 degrees
Fractional coordinates of all 14 atoms:
1 Pr 0.0040 0.7500 0.8749
2 Pr 0.3633 0.9976 0.7169
3 Pr 0.6367 0.0024 0.2831
4 Pr 0.9960 0.2500 0.1251
5 Pr 0.8485 0.2500 0.5607
6 Pr 0.1515 0.7500 0.4393
7 Pr 0.3633 0.5024 0.7169
8 Pr 0.6367 0.4976 0.2831
9 Mg 0.8635 0.2500 0.8380
10 Mg 0.1365 0.7500 0.1620
11 Tb 0.4169 0.2500 0.9910
12 Tb 0.2790 0.2500 0.4297
13 Tb 0.5831 0.7500 0.0090
14 Tb 0.7210 0.7500 0.5703

Summary:
E above lowest polymorph   0 meV per atom
E   -4.19 eV per atom
Crystal system   monoclinic
Total magnetization   0.0 Bohr magnetons per cell

## Ag2GeBiSb (PBE-GGA)

Data for a geometry-optimized Ag2GeBiSb structure.

Cell lengths 5.2783, 5.6839, 5.2783 Å; angles 90.00, 90.00, 90.00 degrees
Fractional coordinates of all 5 atoms:
1 Sb 0.5000 0.5000 0.5000
2 Bi 0.0000 0.0000 0.0000
3 Ge 0.0000 0.5000 0.0000
4 Ag 0.0000 0.0000 0.5000
5 Ag 0.5000 0.0000 0.0000

Summary:
E   -2.84 eV per atom
Crystal system   tetragonal
Formation energy (no corrections)   823 meV per atom
Total magnetization   0.0 Bohr magnetons per cell

## Dy3Ga3Cu2 (PBE-GGA)

Data for a geometry-optimized Dy3Ga3Cu2 structure.

Cell lengths 4.3302, 5.5949, 14.5088 Å; angles 90.00, 90.00, 112.77 degrees
Fractional coordinates of all 16 atoms:
1 Dy 0.6267 0.2534 0.2500
2 Dy 0.0966 0.1931 0.6075
3 Dy 0.0966 0.1931 0.8925
4 Dy 0.9034 0.8069 0.3925
5 Dy 0.3733 0.7466 0.7500
6 Dy 0.9034 0.8069 0.1075
7 Cu 0.7999 0.5998 0.8997
8 Cu 0.2001 0.4002 0.3997
9 Cu 0.2001 0.4002 0.1003
10 Cu 0.7999 0.5998 0.6003
11 Ga 0.6150 0.2300 0.0393
12 Ga 0.3850 0.7700 0.9607
13 Ga 0.3350 0.6699 0.2500
14 Ga 0.6150 0.2300 0.4607
15 Ga 0.3850 0.7700 0.5393
16 Ga 0.6650 0.3301 0.7500

Summary:
E   -4.42 eV per atom
Crystal system   orthorhombic
Total magnetization   0.0 Bohr magnetons per cell

## CuHg2Pd8 (PBE-GGA)

Data for a geometry-optimized CuHg2Pd8 structure.

Cell lengths 4.8574, 6.7353, 6.7353 Å; angles 80.88, 75.46, 75.46 degrees
Fractional coordinates of all 11 atoms:
1 Pd 0.1847 0.8419 0.3226
2 Pd 0.1044 0.7261 0.7261
3 Pd 0.7044 0.5659 0.5659
4 Pd 0.8153 0.1581 0.6774
5 Pd 0.8153 0.6774 0.1581
6 Pd 0.8956 0.2739 0.2739
7 Pd 0.1847 0.3226 0.8419
8 Pd 0.2956 0.4341 0.4341
9 Hg 0.5231 0.8464 0.8464
10 Hg 0.4769 0.1536 0.1536
11 Cu 0.0000 0.0000 0.0000

Summary:
E above lowest polymorph   313 meV per atom
E   -3.98 eV per atom
Crystal system   monoclinic
Total magnetization   0.0 Bohr magnetons per cell

## BaAlTlO2 (PBE-GGA)

Data for a geometry-optimized BaAlTlO2 structure.

Cell lengths 4.2532, 5.8486, 4.2532 Å; angles 90.00, 90.00, 90.00 degrees
Fractional coordinates of all 5 atoms:
1 O 0.5000 0.0000 0.0000
2 O 0.0000 0.0000 0.5000
3 Ba 0.0000 0.5000 0.0000
4 Tl 0.5000 0.5000 0.5000
5 Al 0.0000 0.0000 0.0000

Summary:
E   -3.89 eV per atom
Crystal system   tetragonal
Formation energy (no corrections)   -304 meV per atom
Total magnetization   0.0 Bohr magnetons per cell

## LiPrTa2N4 (PBE-GGA)

Data for a geometry-optimized LiPrTa2N4 structure.

Cell lengths 3.2736, 5.5130, 10.6829 Å; angles 90.00, 90.00, 107.27 degrees
Fractional coordinates of all 16 atoms:
1 Li 0.1632 0.3263 0.2500
2 Li 0.8368 0.6737 0.7500
3 N 0.2647 0.5293 0.3937
4 N 0.7353 0.4707 0.6063
5 N 0.0000 0.0000 0.5000
6 N 0.2647 0.5293 0.1063
7 N 0.5712 0.1423 0.2500
8 N 0.0000 0.0000 0.0000
9 N 0.7353 0.4707 0.8937
10 N 0.4288 0.8577 0.7500
11 Ta 0.6250 0.2501 0.0539
12 Ta 0.6250 0.2501 0.4461
13 Ta 0.3750 0.7499 0.5539
14 Ta 0.3750 0.7499 0.9461
15 Pr 0.1104 0.2207 0.7500
16 Pr 0.8896 0.7793 0.2500

Summary:
E   -9.08 eV per atom
Crystal system   orthorhombic
Formation energy (no corrections)   -1119 meV per atom
Total magnetization   0.0 Bohr magnetons per cell

## LaAlCuGe2 (PBE-GGA)

Data for a geometry-optimized LaAlCuGe2 structure.

Cell lengths 4.1350, 4.1350, 6.4377 Å; angles 108.73, 108.73, 90.00 degrees
Fractional coordinates of all 5 atoms:
1 Ge 0.6174 0.6174 0.2349
2 Ge 0.3826 0.3826 0.7651
3 La 0.0000 0.0000 0.0000
4 Cu 0.2500 0.7500 0.5000
5 Al 0.7500 0.2500 0.5000

Summary:
E   -4.90 eV per atom
Crystal system   tetragonal
Total magnetization   0.0 Bohr magnetons per cell